A PBEsol-optimized structure of ScTa2Ag. Source: Alexandria, functional meta-GGA SCAN. Values from VASP.

Its energy of formation is 0.137 eV per atom. The density of states at the Fermi level comes out at 0.922 states/eV per atom. Its space group is Immm (71). The distance to the lowest polymorph of the same formula comes out at 1 meV per atom.

The structure in Quantum ESPRESSO input format:
```
&SYSTEM
  ibrav = 0, nat = 4, ntyp = 3
/
ATOMIC_SPECIES
Sc 44.96 Sc.upf
Ta 180.95 Ta.upf
Ag 107.87 Ag.upf
ATOMIC_POSITIONS crystal
Sc 0.000 0.000 0.000
Ta 0.261 0.761 0.500
Ta 0.739 0.239 0.500
Ag 0.500 0.500 0.000
CELL_PARAMETERS angstrom
-1.615 2.266 5.008
1.615 -2.266 5.008
1.615 2.266 -5.008
```

---

A PBEsol-optimized structure of TaBrCl2. Source: Alexandria, functional meta-GGA SCAN. Values from VASP.

The density of states at the Fermi level comes out at 0.751 states/eV per atom. Its space group is R3m (160). The distance to the lowest polymorph of the same formula comes out at 441 meV per atom. The calculation puts the formation energy from raw total energies at -0.4219 eV/atom.

The structure in Quantum ESPRESSO input format:
```
&SYSTEM
  ibrav = 0, nat = 4, ntyp = 3
/
ATOMIC_SPECIES
Ta 180.95 Ta.upf
Br 79.90 Br.upf
Cl 35.45 Cl.upf
ATOMIC_POSITIONS crystal
Ta 0.000 0.000 0.000
Br 0.263 0.263 0.263
Cl 0.499 0.499 0.499
Cl 0.731 0.731 0.731
CELL_PARAMETERS angstrom
1.608 0.928 8.812
-1.608 0.928 8.812
0.000 -1.856 8.812
```

---

A PBEsol-optimized structure of ReS2. Source: Alexandria, functional meta-GGA SCAN. Values from VASP.

Its space group is P-1 (2). The calculation puts the formation energy from raw total energies at -0.6005 eV/atom.

The structure in Quantum ESPRESSO input format:
```
&SYSTEM
  ibrav = 0, nat = 12, ntyp = 2
/
ATOMIC_SPECIES
Re 186.21 Re.upf
S 32.06 S.upf
ATOMIC_POSITIONS crystal
Re 0.013 0.215 0.002
Re 0.442 0.189 0.008
Re 0.558 0.811 0.992
Re 0.987 0.785 0.998
S 0.223 0.841 0.746
S 0.249 0.117 0.283
S 0.253 0.636 0.191
S 0.275 0.391 0.782
S 0.725 0.609 0.218
S 0.747 0.364 0.809
S 0.751 0.883 0.717
S 0.777 0.159 0.254
CELL_PARAMETERS angstrom
6.340 0.000 0.000
-3.100 5.646 0.000
-1.674 -1.160 6.156
```

---

A PBEsol-optimized structure of RbBeZnC2. Source: Alexandria, functional meta-GGA SCAN. Values from VASP.

Its energy of formation is 2.167 eV per atom. The density of states at the Fermi level comes out at 0.530 states/eV per atom. Its space group is P4/mmm (123).

The structure in Quantum ESPRESSO input format:
```
&SYSTEM
  ibrav = 0, nat = 5, ntyp = 4
/
ATOMIC_SPECIES
Rb 85.47 Rb.upf
Be 9.01 Be.upf
Zn 65.41 Zn.upf
C 12.01 C.upf
ATOMIC_POSITIONS crystal
Rb 0.000 0.000 0.000
Be 0.500 0.500 0.000
Zn 0.500 0.500 0.500
C 0.000 0.500 0.500
C 0.500 0.000 0.500
CELL_PARAMETERS angstrom
4.168 0.000 0.000
0.000 4.168 0.000
0.000 0.000 4.382
```

---

A PBEsol-optimized structure of TlPW2. Source: Alexandria, functional meta-GGA SCAN. Values from VASP.

Its energy of formation is 1.046 eV per atom. The density of states at the Fermi level comes out at 0.718 states/eV per atom. Its space group is P4/mmm (123). The distance to the lowest polymorph of the same formula comes out at 543 meV per atom.

The structure in Quantum ESPRESSO input format:
```
&SYSTEM
  ibrav = 0, nat = 4, ntyp = 3
/
ATOMIC_SPECIES
Tl 204.38 Tl.upf
P 30.97 P.upf
W 183.84 W.upf
ATOMIC_POSITIONS crystal
Tl 0.000 0.000 0.000
P 0.500 0.500 0.000
W 0.000 0.500 0.500
W 0.500 0.000 0.500
CELL_PARAMETERS angstrom
4.486 0.000 0.000
0.000 4.486 0.000
0.000 0.000 3.156
```

---

A PBEsol-optimized structure of MnGeF3. Source: Alexandria, functional meta-GGA SCAN. Values from VASP.

Its space group is Pm-3m (221). The calculation puts the formation energy from raw total energies at -1.4661 eV/atom.

The structure in Quantum ESPRESSO input format:
```
&SYSTEM
  ibrav = 0, nat = 5, ntyp = 3
/
ATOMIC_SPECIES
Mn 54.94 Mn.upf
Ge 72.64 Ge.upf
F 19.00 F.upf
ATOMIC_POSITIONS crystal
Mn 0.000 0.000 0.000
Ge 0.500 0.500 0.500
F 0.000 0.500 0.500
F 0.500 0.000 0.500
F 0.500 0.500 0.000
CELL_PARAMETERS angstrom
4.336 0.000 0.000
0.000 4.336 0.000
0.000 0.000 4.336
```

---

A PBEsol-optimized structure of Re2NiBr. Source: Alexandria, functional meta-GGA SCAN. Values from VASP.

The density of states at the Fermi level comes out at 0.853 states/eV per atom. Its space group is R3m (160). The distance to the lowest polymorph of the same formula comes out at 0 meV per atom. The calculation puts the formation energy from raw total energies at 0.6409 eV/atom.

The structure in Quantum ESPRESSO input format:
```
&SYSTEM
  ibrav = 0, nat = 4, ntyp = 3
/
ATOMIC_SPECIES
Re 186.21 Re.upf
Ni 58.69 Ni.upf
Br 79.90 Br.upf
ATOMIC_POSITIONS crystal
Re 0.000 0.000 0.000
Re 0.250 0.250 0.250
Ni 0.747 0.747 0.747
Br 0.493 0.493 0.493
CELL_PARAMETERS angstrom
1.428 0.824 8.274
-1.428 0.824 8.274
0.000 -1.648 8.274
```

---

A PBEsol-optimized structure of Na2TaHgBr. Source: Alexandria, functional meta-GGA SCAN. Values from VASP.

The density of states at the Fermi level comes out at 0.445 states/eV per atom. Its space group is P4/mmm (123). The calculation puts the formation energy from raw total energies at 0.7646 eV/atom.

The structure in Quantum ESPRESSO input format:
```
&SYSTEM
  ibrav = 0, nat = 5, ntyp = 4
/
ATOMIC_SPECIES
Na 22.99 Na.upf
Ta 180.95 Ta.upf
Hg 200.59 Hg.upf
Br 79.90 Br.upf
ATOMIC_POSITIONS crystal
Na 0.000 0.500 0.000
Na 0.500 0.000 0.000
Ta 0.000 0.000 0.500
Hg 0.500 0.500 0.500
Br 0.500 0.500 0.000
CELL_PARAMETERS angstrom
4.972 0.000 0.000
0.000 4.972 0.000
0.000 0.000 6.254
```

---

Short version: volume = 73 79 55 76 64 82 58 155 Å³/f.u., in the order given.